Pm5Si4: relaxed, PBE.

## Properties
As for the density of states at the Fermi level: 0.83 states/eV/atom. The electronic total energy comes out at -5.55 eV/atom. The volume comes out at 24.21 Å³ per atom. As for the energy relative to the lowest polymorph listed for this composition: 0.203 eV per atom. As for the symmetry: No. 12. For the uncorrected formation energy, the calculation gives -0.496 eV per atom.

Structure (extended XYZ):
```
9
Lattice="-0.3066 -1.3348 -3.5311 7.1733 0.8720 -2.9816 1.7110 -7.5959 0.6936" Properties=species:S:1:pos:R:3 pbc="T T T"
Si 0.8977 -2.8863 -1.0159
Si 2.3275 -3.2218 -3.0467
Si 5.9301 -5.3332 -2.5571
Si 6.1793 -7.4988 -3.7935
Pm 2.5497 -0.3055 -2.1318
Pm 3.6869 -4.5328 -0.6358
Pm 7.0181 0.6315 -2.8772
Pm 5.3525 -1.9506 -1.7565
Pm 7.8487 -4.9306 -4.9124
```